! Nd3CdNi3 | Alexandria | PBE | relaxed; values from VASP
&SYSTEM
  ibrav = 0, nat = 14, ntyp = 3
/
ATOMIC_SPECIES
Ni 58.69 Ni.upf
Nd 144.24 Nd.upf
Cd 112.41 Cd.upf
ATOMIC_POSITIONS crystal
Ni 0.750 0.321 0.359
Ni 0.750 0.641 0.961
Ni 0.250 0.359 0.039
Ni 0.750 0.039 0.679
Ni 0.250 0.679 0.641
Ni 0.250 0.961 0.321
Nd 0.250 0.645 0.949
Nd 0.750 0.949 0.304
Nd 0.750 0.355 0.051
Nd 0.750 0.696 0.645
Nd 0.250 0.304 0.355
Nd 0.250 0.051 0.696
Cd 0.750 0.333 0.667
Cd 0.250 0.667 0.333
CELL_PARAMETERS angstrom
-2.209 4.961 -1.020
-5.053 -0.820 6.953
7.801 3.626 0.736
! crystal system: hexagonal
! D(E_F): 4.756 states/eV/f.u.
! formation energy: -0.07 eV/atom